No. 1
Here is a relaxed structure of Hf3RuC from Alexandria. Energies are from PBE-GGA. Values from VASP.

Summary:
**Energy of formation**: -0.360 eV/atom

Quantum ESPRESSO input file:
```
&SYSTEM
  ibrav = 0, nat = 5, ntyp = 3
/
ATOMIC_SPECIES
Hf 178.49 Hf.upf
Ru 101.07 Ru.upf
C 12.01 C.upf
ATOMIC_POSITIONS angstrom
Hf 0.0000 2.2137 0.0000
Ru 2.2137 2.2137 2.2137
C 0.0000 0.0000 0.0000
Hf 0.0000 0.0000 2.2137
Hf 2.2137 0.0000 0.0000
CELL_PARAMETERS angstrom
4.4274 0.0000 0.0000
0.0000 4.4274 0.0000
0.0000 0.0000 4.4274
```

No. 2
Here is a relaxed structure of HfRu3C from Alexandria. Energies are from PBE-GGA. Values from VASP.

Summary:
**Energy of formation**: 0.078 eV/atom

Quantum ESPRESSO input file:
```
&SYSTEM
  ibrav = 0, nat = 10, ntyp = 3
/
ATOMIC_SPECIES
Ru 101.07 Ru.upf
Hf 178.49 Hf.upf
C 12.01 C.upf
ATOMIC_POSITIONS angstrom
Ru 0.4083 2.7124 3.6650
Hf 0.0000 0.0000 4.3981
C 0.0000 0.0000 2.1990
Ru -2.1448 1.7098 5.1311
Ru 2.5532 1.0026 5.1311
Ru 2.1448 -1.7098 3.6650
Ru -2.5532 -1.0026 3.6650
C 0.0000 0.0000 6.5971
Ru -0.4083 -2.7124 5.1311
Hf 0.0000 0.0000 0.0000
CELL_PARAMETERS angstrom
4.2896 0.0000 2.9320
-2.1448 3.7149 2.9320
-2.1448 -3.7149 2.9320
```

No. 3
Here is a relaxed structure of HfTc2RuC from Alexandria. Energies are from PBE-GGA. Values from VASP.

Summary:
**Energy of formation**: -0.256 eV/atom

Quantum ESPRESSO input file:
```
&SYSTEM
  ibrav = 0, nat = 5, ntyp = 4
/
ATOMIC_SPECIES
Tc 98.00 Tc.upf
Ru 101.07 Ru.upf
Hf 178.49 Hf.upf
C 12.01 C.upf
ATOMIC_POSITIONS angstrom
Tc 0.0000 2.0632 0.0000
Ru 0.0000 0.0000 2.0560
Hf 2.0632 2.0632 2.0560
Tc 2.0632 0.0000 0.0000
C 0.0000 0.0000 0.0000
CELL_PARAMETERS angstrom
4.1265 0.0000 0.0000
0.0000 4.1265 0.0000
0.0000 0.0000 4.1121
```

No. 4
Here is a relaxed structure of HfTeRu2C from Alexandria. Energies are from PBE-GGA. Values from VASP.

Summary:
**Total energy**: -6.6172 eV per atom

Quantum ESPRESSO input file:
```
&SYSTEM
  ibrav = 0, nat = 5, ntyp = 4
/
ATOMIC_SPECIES
Ru 101.07 Ru.upf
C 12.01 C.upf
Te 127.60 Te.upf
Hf 178.49 Hf.upf
ATOMIC_POSITIONS angstrom
Ru 0.0000 0.0000 2.4578
C 0.0000 2.0773 0.0000
Te 2.4578 2.0773 2.4578
Ru 2.4578 0.0000 0.0000
Hf 0.0000 0.0000 0.0000
CELL_PARAMETERS angstrom
4.9157 0.0000 0.0000
0.0000 4.1545 0.0000
0.0000 0.0000 4.9157
```

No. 5
Here is a relaxed structure of HfTl2RuC from Alexandria. Energies are from PBE-GGA. Values from VASP.

Summary:
**Energy of formation**: 1.515 eV/atom

Quantum ESPRESSO input file:
```
&SYSTEM
  ibrav = 0, nat = 5, ntyp = 4
/
ATOMIC_SPECIES
Ru 101.07 Ru.upf
Tl 204.38 Tl.upf
C 12.01 C.upf
Hf 178.49 Hf.upf
ATOMIC_POSITIONS angstrom
Ru 0.0000 0.0000 0.0000
Tl -1.3726 2.1140 -0.7212
Tl -2.2336 -1.2941 0.4577
C -3.6183 0.0320 -2.5502
Hf -0.0121 -0.7879 -2.2867
CELL_PARAMETERS angstrom
-2.7452 4.2281 -1.4424
-0.0241 -1.5759 -4.5733
-4.4673 -2.5882 0.9154
```

No. 6
Here is a relaxed structure of HfZr2RuC from Alexandria. Energies are from PBE-GGA. Values from VASP.

Summary:
**Energy of formation**: 0.810 eV/atom

Quantum ESPRESSO input file:
```
&SYSTEM
  ibrav = 0, nat = 5, ntyp = 4
/
ATOMIC_SPECIES
Ru 101.07 Ru.upf
Hf 178.49 Hf.upf
Zr 91.22 Zr.upf
C 12.01 C.upf
ATOMIC_POSITIONS angstrom
Ru 0.0000 0.0000 0.0000
Hf -1.7029 -2.9576 2.3426
Zr -1.3996 -2.0514 -0.7406
Zr -1.4876 0.2544 2.1067
C 1.1844 -1.1606 0.9765
CELL_PARAMETERS angstrom
-2.7993 -4.1029 -1.4812
2.3688 -2.3212 1.9530
-2.9752 0.5088 4.2134
```